Entry 1:
{
  "formula": "NiMoAs2",
  "functional": "PBE",
  "state": "relaxed",
  "spacegroup": "Cmmm, No. 65",
  "total_energy_ev_per_atom": -6.24,
  "delta_e_f_ev_per_atom": 0.24,
  "volume_a3_per_cell": 61.5,
  "lattice_angstrom": [[-0.065, 2.932, -0.133], [-1.927, -1.014, -1.969], [-5.373, 0.116, 5.199]],
  "species": ["As", "As", "Mo", "Ni"],
  "fractional_positions": [[0.000, 0.000, 0.985], [0.000, 0.000, 0.515], [0.500, 0.500, 0.250], [0.500, 0.500, 0.750]]
}

***

Entry 2:
{
  "formula": "BaTeH4",
  "functional": "PBE",
  "state": "relaxed",
  "spacegroup": "P-1, No. 2",
  "total_energy_ev_per_atom": -3.10,
  "volume_a3_per_cell": 121.6,
  "lattice_angstrom": [[4.550, -0.494, -0.949], [1.328, 4.381, -0.940], [-1.236, -0.806, 6.303]],
  "species": ["Ba", "Te", "H", "H", "H", "H"],
  "fractional_positions": [[0.003, 0.999, 0.502], [0.503, 0.499, 0.002], [0.171, 0.592, 0.731], [0.834, 0.405, 0.273], [0.411, 0.824, 0.275], [0.595, 0.174, 0.729]]
}

***

Entry 3:
{
  "formula": "Ac2CoN",
  "functional": "PBE",
  "state": "relaxed",
  "relative_energy_mev_per_atom": 144.4,
  "formation_energy_uncorrected_kj_per_mol_atoms": 12.22,
  "spacegroup": "R-3m, No. 166",
  "total_energy_ev_per_atom": -5.79,
  "volume_a3_per_cell": 101.1,
  "lattice_angstrom": [[3.714, 0.000, 0.000], [1.857, 3.216, 0.000], [1.857, 1.072, 8.466]],
  "species": ["Ac", "Ac", "Co", "N"],
  "fractional_positions": [[0.105, 0.105, 0.685], [0.895, 0.895, 0.315], [0.000, 0.000, 0.000], [0.500, 0.500, 0.500]]
}